Density functional theory data (PBE-GGA) for a geometry-optimized Th2Tl3NiS6 structure.

Properties
SG = C2/m
Magnetic moment = 1.00 μB/f.u.
Raw formation energy = -1025 meV per atom
Final energy = -5.399 eV per atom

abc: 7.1977 7.1977 7.8688
angles: 97.81 97.81 123.47
Fractional positions:
1 S 0.0661 0.4315 0.2174
2 S 0.4315 0.0661 0.2174
3 S 0.9339 0.5685 0.7826
4 S 0.7653 0.7653 0.1621
5 S 0.2347 0.2347 0.8379
6 S 0.5685 0.9339 0.7826
7 Ni 0.0000 0.0000 0.0000
8 Th 0.3359 0.6641 0.0000
9 Th 0.6641 0.3359 0.0000
10 Tl 0.5000 0.5000 0.5000
11 Tl 0.8444 0.1556 0.5000
12 Tl 0.1556 0.8444 0.5000